# Ca2Ni5C

A relaxed Ca2Ni5C crystal (PBE-GGA, the Alexandria database).

It has space group I4mm (No. 107), with a = 5.138 Å, b = 5.138 Å, c = 8.820 Å, α = 90.00°, β = 90.00° and γ = 90.00°. The asymmetric unit holds Ca at (0.000, 0.500, 0.000), Ni at (0.000, 0.000, 0.453), Ni at (0.247, 0.247, 0.247) and C at (0.000, 0.000, 0.683).

The crystal system is tetragonal. The calculation puts the formation energy from the elements at -0.0169 eV/atom. The value obtained for the uncorrected energy is -5.28 eV per atom.

=====

# Ca3TbHf2As6

A relaxed Ca3TbHf2As6 crystal (PBE-GGA, the Alexandria database).

It has space group C2/m (No. 12), with a = 6.961 Å, b = 12.075 Å, c = 7.241 Å, α = 90.00°, β = 108.84° and γ = 90.00°. The asymmetric unit holds Ca at (0.000, 0.000, 0.000), Ca at (0.000, 0.338, 0.000), Tb at (0.000, 0.500, 0.500), Hf at (0.000, 0.168, 0.500), As at (0.228, 0.000, 0.726) and As at (0.250, 0.174, 0.272).

The crystal system is monoclinic. The calculation puts the formation energy from the elements at -1.1782 eV/atom. The value obtained for the uncorrected energy is -6.05 eV per atom.